Crystalline Ba4RuO5 at its relaxed geometry. Source: Alexandria via LeMat-Bulk, functional PBE.

Output
magnetic moment: 1.23 μB per formula unit
E_form (uncorrected): -1.830 eV per atom

a = 8.2812 Å, b = 8.2812 Å, c = 5.6089 Å
α = 90.00°, β = 90.00°, γ = 90.00°
With the nearest neighbours (Å) after each atom.
Space group I4 (No. 79)
Asymmetric unit:
Ba 0.1033 0.2917 0.0000 x8  5 O 2.61-2.85
Ru 0.0000 0.0000 0.4948 x2  5 O 2.19-2.29
O 0.0000 0.0000 0.1041 x2  1 Ru 2.19
O 0.0867 0.2624 0.5063 x8  1 Ru 2.29